VASP calculation (GGA-PBE) on a relaxed structure of DyHoNi2B2C2.

Unit cell a=3.578 b=3.578 c=7.550 alpha=90.00 beta=90.00 gamma=90.00
Space group P4mm (No. 99)
Unique sites:
Dy (0.000, 0.000, 0.000) x1
Ho (0.500, 0.500, 0.669) x1
Ni (0.000, 0.500, 0.335) x2
B (0.000, 0.000, 0.481) x1
B (0.500, 0.500, 0.187) x1
C (0.000, 0.000, 0.679) x1
C (0.500, 0.500, 0.989) x1

Results
As for the total moment: 0.0 μB per formula unit.

VASP calculation (GGA-PBE) on a relaxed structure of Be2CdW.

Unit cell a=6.111 b=6.111 c=6.111 alpha=90.00 beta=90.00 gamma=90.00
Space group F-43m (No. 216)
Unique sites:
Be (0.000, 0.000, 0.000) x4
Be (0.250, 0.250, 0.250) x4
Cd (0.250, 0.250, 0.750) x4
W (0.000, 0.000, 0.500) x4

Results
As for the total moment: 1.6 μB per formula unit.

VASP calculation (GGA-PBE) on a relaxed structure of TePtPbO.

Unit cell a=4.022 b=4.022 c=10.685 alpha=90.00 beta=90.00 gamma=90.00
Space group P4/nmm (No. 129, origin choice 2)
Unique sites:
Te (0.250, 0.250, 0.116) x2
Pt (0.250, 0.250, 0.868) x2
Pb (0.250, 0.250, 0.610) x2
O (0.250, 0.750, 0.500) x2

Results
As for the distance to the lowest polymorph of the same formula: 0 meV/atom. As for the total moment: 0.0 μB per formula unit.

VASP calculation (GGA-PBE) on a relaxed structure of TcIr2Pt.

Unit cell a=6.243 b=6.243 c=6.243 alpha=90.00 beta=90.00 gamma=90.00
Space group F-43m (No. 216)
Unique sites:
Tc (0.000, 0.000, 0.000) x4
Ir (0.000, 0.000, 0.500) x4
Ir (0.250, 0.250, 0.250) x4
Pt (0.250, 0.250, 0.750) x4

Results
The value obtained for the formation energy is 0.406 eV/atom. As for the total moment: 1.0 μB per formula unit.

VASP calculation (GGA-PBE) on a relaxed structure of HoHfPa.

Unit cell a=7.092 b=7.092 c=7.092 alpha=90.00 beta=90.00 gamma=90.00
Space group F-43m (No. 216)
Unique sites:
Ho (0.000, 0.000, 0.000) x4
Hf (0.250, 0.250, 0.250) x4
Pa (0.000, 0.000, 0.500) x4

Results
As for the distance to the lowest polymorph of the same formula: 0 meV/atom. The value obtained for the formation energy is 0.907 eV/atom. As for the total moment: 1.8 μB per formula unit.

VASP calculation (GGA-PBE) on a relaxed structure of ReBi.

Unit cell a=4.4706 b=4.4706 c=5.1191 alpha=90.00 beta=90.00 gamma=120.00
Space group P6_3/mmc (No. 194)
Unique sites:
Re (0.0000, 0.0000, 0.0000) x2
Bi (0.3333, 0.6667, 0.2500) x2

Results
As for the distance to the lowest polymorph of the same formula: 259 meV/atom. As for the total moment: 0.0 μB per formula unit.

VASP calculation (GGA-PBE) on a relaxed structure of Gd2P2IrOsN2.

Unit cell a=4.021 b=4.021 c=8.280 alpha=90.00 beta=90.00 gamma=90.00
Space group P-4m2 (No. 115)
Unique sites:
Gd (0.000, 0.500, 0.129) x2
P (0.000, 0.500, 0.649) x2
Ir (0.500, 0.500, 0.500) x1
Os (0.000, 0.000, 0.500) x1
N (0.000, 0.000, 0.000) x1
N (0.500, 0.500, 0.000) x1

Results
As for the total moment: 0.1 μB per formula unit.

VASP calculation (GGA-PBE) on a relaxed structure of PrFe.

Unit cell a=4.6544 b=4.6544 c=5.8421 alpha=90.00 beta=90.00 gamma=120.00
Space group P6_3mc (No. 186)
Unique sites:
Pr (0.3333, 0.6667, 0.0000) x2
Fe (0.3333, 0.6667, 0.4984) x2

Results
The value obtained for the formation energy is 1.062 eV/atom. As for the total moment: 1.3 μB per formula unit.

VASP calculation (GGA-PBE) on a relaxed structure of ZrCdCuGe.

Unit cell a=6.633 b=6.633 c=6.633 alpha=90.00 beta=90.00 gamma=90.00
Space group F-43m (No. 216)
Unique sites:
Zr (0.000, 0.000, 0.000) x4
Cd (0.250, 0.250, 0.750) x4
Cu (0.000, 0.000, 0.500) x4
Ge (0.250, 0.250, 0.250) x4

Results
As for the distance to the lowest polymorph of the same formula: 0 meV/atom. As for the total moment: 0.0 μB per formula unit.

VASP calculation (GGA-PBE) on a relaxed structure of YBeNiB.

Unit cell a=5.971 b=5.971 c=5.971 alpha=90.00 beta=90.00 gamma=90.00
Space group F-43m (No. 216)
Unique sites:
Y (0.000, 0.000, 0.000) x4
Be (0.000, 0.000, 0.500) x4
Ni (0.250, 0.250, 0.250) x4
B (0.250, 0.250, 0.750) x4

Results
As for the distance to the lowest polymorph of the same formula: 134 meV/atom. As for the total moment: 0.0 μB per formula unit.

VASP calculation (GGA-PBE) on a relaxed structure of HoU.

Unit cell a=5.3288 b=5.3288 c=4.7933 alpha=90.00 beta=90.00 gamma=120.00
Space group P6_3/mmc (No. 194)
Unique sites:
Ho (0.3333, 0.6667, 0.2500) x2
U (0.0000, 0.0000, 0.0000) x2

Results
As for the distance to the lowest polymorph of the same formula: 391 meV/atom. The value obtained for the formation energy is 0.825 eV/atom. As for the total moment: 1.4 μB per formula unit.

VASP calculation (GGA-PBE) on a relaxed structure of PuNpAs.

Unit cell a=6.768 b=6.768 c=6.768 alpha=90.00 beta=90.00 gamma=90.00
Space group F-43m (No. 216)
Unique sites:
Pu (0.000, 0.000, 0.000) x4
Np (0.000, 0.000, 0.500) x4
As (0.250, 0.250, 0.750) x4

Results
As for the total moment: 11.1 μB per formula unit.

VASP calculation (GGA-PBE) on a relaxed structure of KPrTh.

Unit cell a=8.013 b=8.013 c=8.013 alpha=90.00 beta=90.00 gamma=90.00
Space group F-43m (No. 216)
Unique sites:
K (0.000, 0.000, 0.000) x4
Pr (0.250, 0.250, 0.250) x4
Th (0.000, 0.000, 0.500) x4

Results
As for the distance to the lowest polymorph of the same formula: 0 meV/atom. As for the total moment: 0.4 μB per formula unit.

VASP calculation (GGA-PBE) on a relaxed structure of RbSrAg.

Unit cell a=8.158 b=8.158 c=8.158 alpha=90.00 beta=90.00 gamma=90.00
Space group F-43m (No. 216)
Unique sites:
Rb (0.000, 0.000, 0.000) x4
Sr (0.250, 0.250, 0.250) x4
Ag (0.250, 0.250, 0.750) x4

Results
As for the distance to the lowest polymorph of the same formula: 427 meV/atom.

VASP calculation (GGA-PBE) on a relaxed structure of SmHoBr2NCl.

Unit cell a=18.071 b=3.879 c=11.449 alpha=90.00 beta=125.67 gamma=90.00
Space group C2/m (No. 12)
Unique sites:
Sm (0.078, 0.000, 0.459) x4
Ho (0.140, 0.500, 0.793) x4
Br (0.032, 0.500, 0.233) x4
Br (0.225, 0.500, 0.631) x4
N (0.078, 0.000, 0.660) x4
Cl (0.175, 0.000, 0.006) x4

Results
As for the distance to the lowest polymorph of the same formula: 41 meV/atom. As for the total moment: 0.0 μB per formula unit.

VASP calculation (GGA-PBE) on a relaxed structure of AcHfNi.

Unit cell a=6.766 b=6.766 c=6.766 alpha=90.00 beta=90.00 gamma=90.00
Space group F-43m (No. 216)
Unique sites:
Ac (0.000, 0.000, 0.000) x4
Hf (0.000, 0.000, 0.500) x4
Ni (0.250, 0.250, 0.250) x4

Results
The value obtained for the formation energy is 0.313 eV/atom. As for the total moment: 0.0 μB per formula unit.

VASP calculation (GGA-PBE) on a relaxed structure of Gd2Pb.

Unit cell a=8.992 b=8.992 c=8.992 alpha=90.00 beta=90.00 gamma=90.00
Space group Fd-3m (No. 227, origin choice 2)
Unique sites:
Gd (0.000, 0.000, 0.000) x16
Pb (0.125, 0.125, 0.625) x8

Results
As for the distance to the lowest polymorph of the same formula: 447 meV/atom. As for the total moment: 0.0 μB per formula unit.

VASP calculation (GGA-PBE) on a relaxed structure of YAgS2.

Unit cell a=4.0628 b=4.0628 c=6.6084 alpha=90.00 beta=90.00 gamma=120.00
Space group P3m1 (No. 156)
Unique sites:
Y (0.0000, 0.0000, 0.0000) x1
Ag (0.3333, 0.6667, 0.5827) x1
S (0.3333, 0.6667, 0.2069) x1
S (0.6667, 0.3333, 0.7651) x1

Results
As for the total moment: 0.0 μB per formula unit.

VASP calculation (GGA-PBE) on a relaxed structure of TbCuI.

Unit cell a=7.147 b=4.148 c=12.235 alpha=90.00 beta=100.44 gamma=90.00
Space group C2/m (No. 12)
Unique sites:
Tb (0.062, 0.000, 0.153) x4
Cu (0.166, 0.500, 0.999) x4
I (0.218, 0.000, 0.672) x4

Results
As for the total moment: 0.0 μB per formula unit.

VASP calculation (GGA-PBE) on a relaxed structure of TbCoB4.

Unit cell a=3.1632 b=3.1632 c=6.5053 alpha=90.00 beta=90.00 gamma=120.00
Space group P6/mmm (No. 191)
Unique sites:
Tb (0.0000, 0.0000, 0.0000) x1
Co (0.0000, 0.0000, 0.5000) x1
B (0.3333, 0.6667, 0.3020) x4

Results
As for the distance to the lowest polymorph of the same formula: 0 meV/atom. As for the total moment: 0.0 μB per formula unit.

VASP calculation (GGA-PBE) on a relaxed structure of Zr4Sb3W2N3.

Unit cell a=10.300 b=5.946 c=13.443 alpha=90.00 beta=104.65 gamma=90.00
Space group C2/c (No. 15)
Unique sites:
Zr (0.113, 0.089, 0.089) x8
Zr (0.223, 0.078, 0.411) x8
Sb (0.000, 0.107, 0.750) x4
Sb (0.156, 0.425, 0.250) x8
W (0.053, 0.422, 0.925) x8
N (0.084, 0.248, 0.500) x8
N (0.250, 0.250, 0.000) x4

Results
As for the total moment: 0.0 μB per formula unit.

VASP calculation (GGA-PBE) on a relaxed structure of DyHoPbC.

Unit cell a=3.6296 b=3.6296 c=16.0952 alpha=90.00 beta=90.00 gamma=120.00
Space group P-6m2 (No. 187)
Unique sites:
Dy (0.0000, 0.0000, 0.1675) x2
Ho (0.6667, 0.3333, 0.3325) x2
Pb (0.0000, 0.0000, 0.5000) x1
Pb (0.6667, 0.3333, 0.0000) x1
C (0.3333, 0.6667, 0.2501) x2

Results
As for the total moment: 0.0 μB per formula unit.

VASP calculation (GGA-PBE) on a relaxed structure of Be2NiIr.

Unit cell a=3.783 b=3.783 c=2.804 alpha=90.00 beta=90.00 gamma=90.00
Space group P4/mmm (No. 123)
Unique sites:
Be (0.000, 0.500, 0.000) x2
Ni (0.000, 0.000, 0.500) x1
Ir (0.500, 0.500, 0.500) x1

Results
As for the distance to the lowest polymorph of the same formula: 7 meV/atom. As for the total moment: 0.0 μB per formula unit.

VASP calculation (GGA-PBE) on a relaxed structure of HfCdPb.

Unit cell a=3.497 b=3.497 c=11.486 alpha=90.00 beta=90.00 gamma=90.00
Space group P4/nmm (No. 129, origin choice 2)
Unique sites:
Hf (0.250, 0.250, 0.237) x2
Cd (0.250, 0.250, 0.925) x2
Pb (0.250, 0.250, 0.597) x2

Results
As for the distance to the lowest polymorph of the same formula: 0 meV/atom. As for the total moment: 0.0 μB per formula unit.

VASP calculation (GGA-PBE) on a relaxed structure of Hf4Sc2Al3C3.

Unit cell a=9.869 b=5.696 c=14.920 alpha=90.00 beta=102.97 gamma=90.00
Space group C2/c (No. 15)
Unique sites:
Hf (0.111, 0.088, 0.083) x8
Hf (0.225, 0.081, 0.417) x8
Sc (0.049, 0.419, 0.905) x8
Al (0.000, 0.031, 0.250) x4
Al (0.222, 0.362, 0.250) x8
C (0.084, 0.248, 0.500) x8
C (0.250, 0.250, 0.000) x4

Results
As for the total moment: 0.0 μB per formula unit.

VASP calculation (GGA-PBE) on a relaxed structure of DyH2O2F.

Unit cell a=5.830 b=3.421 c=6.073 alpha=90.00 beta=110.54 gamma=90.00
Space group P2_1/m (No. 11)
Unique sites:
Dy (0.146, 0.250, 0.298) x2
H (0.265, 0.250, 0.865) x2
H (0.351, 0.750, 0.686) x2
O (0.118, 0.250, 0.906) x2
O (0.185, 0.750, 0.572) x2
F (0.418, 0.750, 0.274) x2

Results
As for the distance to the lowest polymorph of the same formula: 21 meV/atom. As for the total moment: 0.0 μB per formula unit.

no.,total DFT energy (no corrections) (eV/atom)
1,-7.05
2,-4.38
3,-5.09
4,-8.13
5,-7.10
6,-7.39
7,-7.89
8,-5.48
9,-4.40
10,-5.35
11,-7.11
12,-10.80
13,-3.12
14,-1.34
15,-5.70
16,-6.23
17,-4.28
18,-5.72
19,-4.08
20,-6.73
21,-8.73
22,-6.03
23,-6.05
24,-4.67
25,-8.26
26,-6.28